# 1
Here is a geometry-optimized Sr2Tl12Sn structure from Alexandria via LeMat-Bulk. Energies are from GGA-PBE.

Cell lengths 6.879, 6.879, 21.301 Å; angles 90.00, 90.00, 90.00 degrees
Fractional coordinates of all 30 atoms:
Sr (0.250, 0.750, 0.237)
Sr (0.250, 0.750, 0.763)
Sr (0.750, 0.250, 0.237)
Sr (0.750, 0.250, 0.763)
Tl (0.001, 0.501, 0.402)
Tl (0.001, 0.999, 0.598)
Tl (0.079, 0.579, 0.934)
Tl (0.079, 0.921, 0.066)
Tl (0.250, 0.250, 0.159)
Tl (0.250, 0.250, 0.301)
Tl (0.250, 0.250, 0.699)
Tl (0.250, 0.250, 0.841)
Tl (0.421, 0.579, 0.066)
Tl (0.421, 0.921, 0.934)
Tl (0.499, 0.501, 0.598)
Tl (0.499, 0.999, 0.402)
Tl (0.501, 0.001, 0.598)
Tl (0.501, 0.499, 0.402)
Tl (0.579, 0.079, 0.066)
Tl (0.579, 0.421, 0.934)
Tl (0.750, 0.750, 0.159)
Tl (0.750, 0.750, 0.301)
Tl (0.750, 0.750, 0.699)
Tl (0.750, 0.750, 0.841)
Tl (0.921, 0.079, 0.934)
Tl (0.921, 0.421, 0.066)
Tl (0.999, 0.001, 0.402)
Tl (0.999, 0.499, 0.598)
Sn (0.250, 0.750, 0.500)
Sn (0.750, 0.250, 0.500)

Values from the calculation:
Symmetry = P4/nbm


# 2
Here is a geometry-optimized Sr2TlSn6 structure from Alexandria via LeMat-Bulk. Energies are from GGA-PBE.

Cell lengths 7.195, 7.195, 6.327 Å; angles 90.06, 90.06, 58.75 degrees
Fractional coordinates of all 9 atoms:
Sr (0.164, 0.164, 0.347)
Sr (0.836, 0.836, 0.653)
Tl (0.500, 0.500, 0.500)
Sn (0.126, 0.685, 0.156)
Sn (0.312, 0.312, 0.836)
Sn (0.315, 0.874, 0.844)
Sn (0.685, 0.126, 0.156)
Sn (0.688, 0.688, 0.164)
Sn (0.874, 0.315, 0.844)

Values from the calculation:
Symmetry = C2/m


# 3
Here is a geometry-optimized SrTlSn2 structure from Alexandria via LeMat-Bulk. Energies are from GGA-PBE.

Cell lengths 5.617, 5.617, 5.617 Å; angles 60.00, 60.00, 60.00 degrees
Fractional coordinates of all 4 atoms:
Sr (0.000, 0.000, 0.000)
Tl (0.500, 0.500, 0.500)
Sn (0.250, 0.250, 0.250)
Sn (0.750, 0.750, 0.750)

Values from the calculation:
Symmetry = Fm-3m


Going through the records in order, we get energy values of -2.43 -3.61 -3.20 eV/atom.